[1]
Entry from Alexandria: a geometry-optimized RbBa2VCl8 structure (GGA-PBE).

Computed properties:
- total magnetization (Bohr magnetons per cell) = 2.00
- ΔE_f (raw) (eV/atom) = -1.983
- volume (Å³/cell) = 410
- E_tot (eV per atom) = -4.375

The structure in CIF format:
```
data_RbBa2VCl8
_chemical_formula_sum 'Rb1 Ba2 V1 Cl8'
_symmetry_space_group_name_H-M 'P -1'
_symmetry_Int_Tables_number 2
_cell_length_a 6.707
_cell_length_b 7.409
_cell_length_c 8.963
_cell_angle_alpha 67.77
_cell_angle_beta 88.36
_cell_angle_gamma 84.43
loop_
_symmetry_equiv_pos_as_xyz
'x,y,z'
'-x,-y,-z'
loop_
_atom_site_label
_atom_site_fract_x
_atom_site_fract_y
_atom_site_fract_z
Rb1 0.000 0.000 0.000
Ba1 0.484 0.550 0.730
V1 0.000 0.500 0.500
Cl1 0.009 0.462 0.243
Cl2 0.226 0.748 0.396
Cl3 0.273 0.256 0.597
Cl4 0.452 0.780 0.945
```

[2]
Entry from Alexandria: a geometry-optimized CuPd2Rh structure (GGA-PBE).

Computed properties:
- total magnetization (Bohr magnetons per cell) = 0.00
- volume (Å³/cell) = 233
- formation enthalpy at 0 K (eV per atom) = 0.142
- energy above the lowest structure with this stoichiometry (eV per atom) = 0.129
- E_tot (eV per atom) = -5.316

The structure in CIF format:
```
data_CuPd2Rh
_chemical_formula_sum 'Cu4 Pd8 Rh4'
_symmetry_space_group_name_H-M 'F m -3 m'
_symmetry_Int_Tables_number 225
_symmetry_space_group_name_Hall '-F 4 2 3'
_cell_length_a 6.154
_cell_length_b 6.154
_cell_length_c 6.154
_cell_angle_alpha 90.00
_cell_angle_beta 90.00
_cell_angle_gamma 90.00
loop_
_atom_site_label
_atom_site_fract_x
_atom_site_fract_y
_atom_site_fract_z
Cu1 0.000 0.000 0.000
Pd1 0.250 0.250 0.250
Rh1 0.000 0.000 0.500
```

[3]
Entry from Alexandria: a geometry-optimized BPt3Rh structure (GGA-PBE).

Computed properties:
- total magnetization (Bohr magnetons per cell) = 0.00
- volume (Å³/cell) = 73
- formation enthalpy at 0 K (eV per atom) = 0.141
- energy above the lowest structure with this stoichiometry (eV per atom) = 0.265
- E_tot (eV per atom) = -6.289

The structure in CIF format:
```
data_BPt3Rh
_chemical_formula_sum 'B1 Pt3 Rh1'
_symmetry_space_group_name_H-M 'P m -3 m'
_symmetry_Int_Tables_number 221
_symmetry_space_group_name_Hall '-P 4 2 3'
_cell_length_a 4.175
_cell_length_b 4.175
_cell_length_c 4.175
_cell_angle_alpha 90.00
_cell_angle_beta 90.00
_cell_angle_gamma 90.00
loop_
_atom_site_label
_atom_site_fract_x
_atom_site_fract_y
_atom_site_fract_z
B1 0.000 0.000 0.000
Pt1 0.000 0.000 0.500
Rh1 0.500 0.500 0.500
```

[4]
Entry from Alexandria: a geometry-optimized Hf5ZrOs4 structure (GGA-PBE).

Computed properties:
- total magnetization (Bohr magnetons per cell) = 0.00
- volume (Å³/cell) = 182
- formation enthalpy at 0 K (eV per atom) = -0.559
- E_tot (eV per atom) = -10.883

The structure in CIF format:
```
data_Hf5ZrOs4
_chemical_formula_sum 'Hf5 Zr1 Os4'
_symmetry_space_group_name_H-M 'P 4/m m m'
_symmetry_Int_Tables_number 123
_symmetry_space_group_name_Hall '-P 4 2'
_cell_length_a 3.252
_cell_length_b 3.252
_cell_length_c 17.255
_cell_angle_alpha 90.00
_cell_angle_beta 90.00
_cell_angle_gamma 90.00
loop_
_atom_site_label
_atom_site_fract_x
_atom_site_fract_y
_atom_site_fract_z
Hf1 0.000 0.000 0.000
Hf2 0.000 0.000 0.189
Hf3 0.000 0.000 0.378
Zr1 0.500 0.500 0.500
Os1 0.500 0.500 0.095
Os2 0.500 0.500 0.284
```